VASP calculation (PBE) on a relaxed Li3CdTe crystal.

a = 5.2233 Å, b = 5.2233 Å, c = 5.2233 Å
α = 90.00°, β = 90.00°, γ = 90.00°
Fractional positions:
Te1 0.0000 0.0000 0.0000
Li1 0.0000 0.5000 0.0000
Li2 0.0000 0.0000 0.5000
Li3 0.5000 0.0000 0.0000
Cd1 0.5000 0.5000 0.5000

**Symmetry**: Pm-3m (221)
**Raw total energy**: -2.347 eV/atom
**M_tot**: 0.0000 μB per atom
**DOS(E_F)**: 3.22 states/eV/f.u.



VASP calculation (PBE) on a relaxed ScCuBr2 crystal.

a = 4.8710 Å, b = 4.8710 Å, c = 4.8710 Å
α = 60.00°, β = 60.00°, γ = 60.00°
Fractional positions:
Sc1 0.0000 0.0000 0.0000
Cu1 0.5000 0.5000 0.5000
Br1 0.2500 0.2500 0.2500
Br2 0.7500 0.7500 0.7500

**Symmetry**: Fm-3m (225)
**Raw total energy**: -3.793 eV/atom
**M_tot**: 0.0000 μB per atom
**DOS(E_F)**: 0.98 states/eV/f.u.



VASP calculation (PBE) on a relaxed Tl4I3Br2 crystal.

a = 10.2327 Å, b = 8.7790 Å, c = 8.7789 Å
α = 84.49°, β = 90.01°, γ = 90.01°
Fractional positions:
Tl1 0.3838 0.0293 0.7282
Tl2 0.1162 0.2718 0.9707
Tl3 0.6162 0.9707 0.2718
Tl4 0.8838 0.7282 0.0293
Tl5 0.0727 0.7263 0.4706
Tl6 0.4273 0.5294 0.2737
Tl7 0.9273 0.2737 0.5294
Tl8 0.5727 0.4706 0.7263
I1 0.0502 0.9571 0.7644
I2 0.4498 0.2356 0.0429
I3 0.9498 0.0429 0.2356
I4 0.5502 0.7644 0.9571
I5 0.2500 0.3939 0.6061
I6 0.7500 0.6061 0.3939
Br1 0.3670 0.8390 0.4424
Br2 0.1330 0.5576 0.1610
Br3 0.6330 0.1610 0.5576
Br4 0.8670 0.4424 0.8390

**Symmetry**: C2/c (15)
**Raw total energy**: -2.548 eV/atom
**M_tot**: 0.0000 μB per atom
**DOS(E_F)**: 7.04 states/eV/f.u.



VASP calculation (PBE) on a relaxed CrPSCl2 crystal.

a = 4.3279 Å, b = 4.3279 Å, c = 5.0229 Å
α = 90.00°, β = 90.00°, γ = 90.00°
Fractional positions:
Cr1 0.0000 0.0000 0.0000
S1 0.5000 0.5000 0.5000
P1 0.0000 0.0000 0.5000
Cl1 0.0000 0.5000 0.0000
Cl2 0.5000 0.0000 0.0000

**Symmetry**: P4/mmm (123)
**Raw total energy**: -4.199 eV/atom
**M_tot**: 0.0001 μB per atom
**DOS(E_F)**: 5.20 states/eV/f.u.